Entry 1:
This record from Alexandria via LeMat-Bulk describes crystalline Na3AcF6 at its relaxed geometry. The functional is PBE-GGA.

Results
Size of the total moment, μB/atom: 0.019
V, Å³ per cell: 323.8
ΔE to the lowest computed polymorph, meV/atom: 23.9
Crystal system: orthorhombic
Density of states at the Fermi level, states/eV/cell: 0.00
Energy relative to the elements, uncorrected, eV per atom: -3.25

Cell and atoms, written as POSCAR:
```
Na3AcF6
1.0
-3.074 2.844 -0.688
-3.327 -2.472 4.641
5.339 7.686 7.922
F Ac Na
12 2 6
direct
0.500 0.857 0.414
0.500 0.826 0.066
0.500 0.174 0.934
0.500 0.143 0.586
0.000 0.070 0.795
0.000 0.643 0.914
0.500 0.430 0.295
0.000 0.326 0.434
0.000 0.357 0.086
0.000 0.930 0.205
0.000 0.674 0.566
0.500 0.570 0.705
0.500 0.500 0.500
0.000 0.000 0.000
0.000 0.545 0.241
0.500 0.045 0.259
0.000 0.000 0.500
0.500 0.500 0.000
0.500 0.955 0.741
0.000 0.455 0.759
```


Entry 2:
This record from Alexandria via LeMat-Bulk describes crystalline NaAcF6 at its relaxed geometry. The functional is PBE-GGA.

Results
Size of the total moment, μB/atom: 0.251
V, Å³ per cell: 124.7
Crystal system: monoclinic
Density of states at the Fermi level, states/eV/cell: 0.19
Energy relative to the elements, uncorrected, eV per atom: -2.70

Cell and atoms, written as POSCAR:
```
NaAcF6
1.0
-3.731 0.998 -2.334
-2.145 -1.088 3.818
1.189 5.858 1.680
F Ac Na
6 1 1
direct
0.853 0.469 0.796
0.805 0.805 0.326
0.531 0.147 0.204
0.147 0.531 0.204
0.195 0.195 0.674
0.469 0.853 0.796
0.000 0.000 0.000
0.500 0.500 0.500
```


Entry 3:
This record from Alexandria via LeMat-Bulk describes crystalline Na2AcF8 at its relaxed geometry. The functional is PBE-GGA.

Results
Size of the total moment, μB/atom: 0.275
V, Å³ per cell: 160.0
Crystal system: monoclinic
Density of states at the Fermi level, states/eV/cell: 6.70
Energy relative to the elements, uncorrected, eV per atom: -2.42

Cell and atoms, written as POSCAR:
```
Na2AcF8
1.0
3.866 0.000 -1.174
-0.579 5.520 -1.907
0.081 0.670 7.220
F Na Ac
8 2 1
direct
0.840 0.697 0.680
0.042 0.796 0.084
0.160 0.303 0.320
0.633 0.404 0.265
0.673 0.936 0.347
0.958 0.204 0.916
0.367 0.596 0.735
0.327 0.064 0.653
0.199 0.724 0.398
0.801 0.276 0.602
0.500 0.000 0.000
```


Entry 4:
This record from Alexandria via LeMat-Bulk describes crystalline Na2AcF6 at its relaxed geometry. The functional is PBE-GGA.

Results
Size of the total moment, μB/atom: 0.115
V, Å³ per cell: 142.2
Crystal system: monoclinic
Density of states at the Fermi level, states/eV/cell: 6.34
Energy relative to the elements, uncorrected, eV per atom: -3.03

Cell and atoms, written as POSCAR:
```
Na2AcF6
1.0
4.365 0.000 -1.254
-0.366 4.345 -1.274
-0.178 -0.173 7.605
Ac F Na
1 6 2
direct
0.000 0.500 0.000
0.414 0.409 0.828
0.086 0.087 0.172
0.586 0.591 0.172
0.914 0.913 0.828
0.206 0.705 0.412
0.794 0.295 0.588
0.750 0.750 0.500
0.250 0.250 0.500
```


Entry 5:
This record from Alexandria via LeMat-Bulk describes crystalline Na3AcF6 at its relaxed geometry. The functional is PBE-GGA.

Results
Size of the total moment, μB/atom: 0.010
V, Å³ per cell: 304.2
ΔE to the lowest computed polymorph, meV/atom: 0.0
Crystal system: monoclinic
Density of states at the Fermi level, states/eV/cell: 0.00
Energy relative to the elements, uncorrected, eV per atom: -3.28

Cell and atoms, written as POSCAR:
```
Na3AcF6
1.0
3.896 0.000 0.000
0.000 9.413 -0.512
0.000 -3.650 8.493
F Na Ac
12 6 2
direct
0.250 0.931 0.555
0.250 0.088 0.911
0.750 0.725 0.271
0.750 0.839 0.731
0.250 0.509 0.368
0.250 0.161 0.269
0.250 0.652 0.996
0.750 0.069 0.445
0.250 0.275 0.729
0.750 0.912 0.089
0.750 0.348 0.004
0.750 0.491 0.632
0.750 0.530 0.882
0.750 0.630 0.477
0.250 0.817 0.848
0.250 0.470 0.118
0.750 0.183 0.152
0.250 0.370 0.523
0.250 0.900 0.267
0.750 0.100 0.733
```


Entry 6:
This record from Alexandria via LeMat-Bulk describes crystalline NaAcF4 at its relaxed geometry. The functional is PBE-GGA.

Results
Size of the total moment, μB/atom: 0.000
V, Å³ per cell: 100.1
ΔE to the lowest computed polymorph, meV/atom: 0.0
Crystal system: tetragonal
Density of states at the Fermi level, states/eV/cell: 0.00
Energy relative to the elements, uncorrected, eV per atom: -3.71

Cell and atoms, written as POSCAR:
```
NaAcF4
1.0
-1.087 -2.719 2.980
0.138 -3.109 -2.787
5.534 -0.860 1.234
Ac F Na
1 4 1
direct
0.500 0.500 0.500
0.000 0.500 0.256
0.500 0.000 0.256
0.000 0.500 0.744
0.500 0.000 0.744
0.000 0.000 0.000
```